Record 1
CeTh4Rh15 | PBE | optimized geometry

Output
* ΔE_f: -14.00 eV per formula unit
* space-group type: No. 123

a = 4.107 Å, b = 4.107 Å, c = 20.710 Å
α = 90.00°, β = 90.00°, γ = 90.00°
Fractional positions:
Ce 0.000 0.000 0.000
Th 0.000 0.000 0.198
Th 0.000 0.000 0.399
Th 0.000 0.000 0.601
Th 0.000 0.000 0.802
Rh 0.000 0.500 0.097
Rh 0.000 0.500 0.299
Rh 0.000 0.500 0.500
Rh 0.000 0.500 0.701
Rh 0.000 0.500 0.903
Rh 0.500 0.000 0.097
Rh 0.500 0.000 0.299
Rh 0.500 0.000 0.500
Rh 0.500 0.000 0.701
Rh 0.500 0.000 0.903
Rh 0.500 0.500 0.000
Rh 0.500 0.500 0.198
Rh 0.500 0.500 0.400
Rh 0.500 0.500 0.600
Rh 0.500 0.500 0.802

---

Record 2
LiLaBe2 | PBE | optimized geometry

Output
* ΔE_f: 1.57 eV per formula unit
* relative energy among the computed polymorphs: 195.4 meV per atom
* space-group type: No. 10

a = 2.944 Å, b = 4.157 Å, c = 5.862 Å
α = 90.00°, β = 103.78°, γ = 90.00°
Fractional positions:
Li 0.000 0.000 0.000
La 0.500 0.000 0.500
Be 0.202 0.500 0.851
Be 0.798 0.500 0.149

---

Record 3
La3DySb2 | PBE | optimized geometry

Output
* relative energy among the computed polymorphs: 0.0 meV per atom
* space-group type: No. 71
* ΔE_f (raw): -0.877 eV/atom

a = 9.477 Å, b = 9.477 Å, c = 9.477 Å
α = 152.25°, β = 150.98°, γ = 40.58°
Fractional positions:
La 0.000 0.000 0.000
La 0.177 0.677 0.500
La 0.823 0.323 0.500
Dy 0.500 0.500 0.000
Sb 0.365 0.865 0.500
Sb 0.635 0.135 0.500

---

Record 4
BaEuZnCu | PBE | optimized geometry

Output
* ΔE_f: -0.21 eV per formula unit
* space-group type: No. 216

a = 5.493 Å, b = 5.493 Å, c = 5.493 Å
α = 60.00°, β = 60.00°, γ = 60.00°
Fractional positions:
Ba 0.000 0.000 0.000
Eu 0.500 0.500 0.500
Zn 0.250 0.250 0.250
Cu 0.750 0.750 0.750

---

Record 5
Ho2Al3Ga3 | PBE | optimized geometry

Output
* ΔE_f: -3.78 eV per formula unit
* space-group type: No. 47

a = 4.203 Å, b = 4.261 Å, c = 8.572 Å
α = 90.00°, β = 90.00°, γ = 90.00°
Fractional positions:
Ho 0.000 0.000 0.247
Ho 0.000 0.000 0.753
Al 0.000 0.500 0.000
Al 0.000 0.500 0.500
Al 0.500 0.000 0.500
Ga 0.500 0.000 0.000
Ga 0.500 0.500 0.257
Ga 0.500 0.500 0.743

---

Record 6
BeVTc3 | PBE | optimized geometry

Output
* ΔE_f: 2.74 eV per formula unit
* relative energy among the computed polymorphs: 0.0 meV per atom
* space-group type: No. 221

a = 4.111 Å, b = 4.111 Å, c = 4.111 Å
α = 90.00°, β = 90.00°, γ = 90.00°
Fractional positions:
Be 0.000 0.000 0.000
V 0.500 0.500 0.500
Tc 0.000 0.000 0.500
Tc 0.000 0.500 0.000
Tc 0.500 0.000 0.000

---

Record 7
Tb4PrSmHo2 | PBE | optimized geometry

Output
* ΔE_f: 0.13 eV per formula unit
* space-group type: No. 12

a = 7.156 Å, b = 7.156 Å, c = 12.393 Å
α = 106.81°, β = 106.81°, γ = 60.02°
Fractional positions:
Tb 0.249 0.249 0.747
Tb 0.249 0.749 0.748
Tb 0.250 0.250 0.253
Tb 0.251 0.751 0.252
Tb 0.749 0.249 0.748
Tb 0.750 0.750 0.747
Tb 0.751 0.251 0.252
Tb 0.751 0.751 0.253
Pr 0.000 0.500 0.000
Pr 0.500 0.000 0.000
Sm 0.500 0.500 0.000
Sm 0.500 0.500 0.500
Ho 0.000 0.000 0.000
Ho 0.000 0.000 0.500
Ho 0.000 0.500 0.500
Ho 0.500 0.000 0.500

---

Record 8
CaTlTc | PBE | optimized geometry

Output
* ΔE_f: 2.19 eV per formula unit
* relative energy among the computed polymorphs: 285.6 meV per atom
* space-group type: No. 216

a = 4.809 Å, b = 4.809 Å, c = 4.809 Å
α = 60.00°, β = 60.00°, γ = 60.00°
Fractional positions:
Ca 0.000 0.000 0.000
Tl 0.500 0.500 0.500
Tc 0.250 0.250 0.250